*P*
BaLi2ZnAg after structural relaxation. Source: Alexandria, functional PBE-GGA.

Unit cell a=5.1049 b=5.1049 c=5.1283 alpha=90.00 beta=90.00 gamma=90.00
Sites, in units of the cell vectors:
Ba1 0.5000 0.5000 0.5000
Ag1 0.0000 0.0000 0.5000
Li1 0.5000 0.0000 0.0000
Zn1 0.0000 0.0000 0.0000
Li2 0.0000 0.5000 0.0000

Results
For the total magnetic moment, the calculation gives 0.0000 μB per atom. Its symmetry is No. 123.


*Q*
BaLi2ZnAg after structural relaxation. Source: Alexandria, functional PBE-GGA.

Unit cell a=5.1522 b=5.1522 c=5.0796 alpha=90.00 beta=90.00 gamma=90.00
Sites, in units of the cell vectors:
Li1 0.0000 0.5000 0.0000
Ag1 0.0000 0.0000 0.0000
Li2 0.5000 0.0000 0.0000
Ba1 0.5000 0.5000 0.5000
Zn1 0.0000 0.0000 0.5000

Results
For the total magnetic moment, the calculation gives 0.0000 μB per atom. Its symmetry is No. 123.


Of them, *P* has the lowest stability.


*P*
BaLiZnAg2 after structural relaxation. Source: Alexandria, functional PBE-GGA.

Unit cell a=5.1431 b=5.1431 c=4.9576 alpha=90.00 beta=90.00 gamma=90.00
Sites, in units of the cell vectors:
Ag1 0.0000 0.5000 0.0000
Li1 0.0000 0.0000 0.5000
Ag2 0.5000 0.0000 0.0000
Ba1 0.5000 0.5000 0.5000
Zn1 0.0000 0.0000 0.0000

Results
For the total magnetic moment, the calculation gives 0.0000 μB per atom. Its symmetry is No. 123.


*Q*
BaLiZnAg2 after structural relaxation. Source: Alexandria, functional PBE-GGA.

Unit cell a=5.0476 b=5.0476 c=4.9557 alpha=90.00 beta=90.00 gamma=90.00
Sites, in units of the cell vectors:
Ag1 0.5000 0.0000 0.0000
Ba1 0.5000 0.5000 0.5000
Ag2 0.0000 0.5000 0.0000
Zn1 0.0000 0.0000 0.5000
Li1 0.0000 0.0000 0.0000

Results
For the total magnetic moment, the calculation gives 0.0000 μB per atom. Its symmetry is No. 123.


*R*
BaLiZnAg2 after structural relaxation. Source: Alexandria, functional PBE-GGA.

Unit cell a=4.7560 b=4.7560 c=6.3745 alpha=111.90 beta=111.90 gamma=90.00
Sites, in units of the cell vectors:
Ba1 0.0000 0.0000 0.0000
Li1 0.7500 0.2500 0.5000
Zn1 0.2500 0.7500 0.5000
Ag1 0.3684 0.3684 0.7369
Ag2 0.6316 0.6316 0.2631

Results
For the total magnetic moment, the calculation gives 0.0000 μB per atom. Its symmetry is No. 119.


Of them, *Q* has the lowest stability.


*P*
Ba4MgAg after structural relaxation. Source: Alexandria, functional PBE-GGA.

Unit cell a=4.2673 b=4.2673 c=15.3534 alpha=90.00 beta=90.00 gamma=90.00
Sites, in units of the cell vectors:
Ba1 0.5000 0.5000 0.1434
Ba2 0.5000 0.5000 0.8566
Ba3 0.0000 0.0000 0.3739
Ag1 0.5000 0.5000 0.5000
Ba4 0.0000 0.0000 0.6261
Mg1 0.0000 0.0000 0.0000

Results
For the total magnetic moment, the calculation gives 0.0000 μB per atom. Its symmetry is No. 123.


*Q*
Ba4MgAg after structural relaxation. Source: Alexandria, functional PBE-GGA.

Unit cell a=7.4189 b=7.4189 c=7.4189 alpha=60.00 beta=60.00 gamma=60.00
Sites, in units of the cell vectors:
Ba1 0.3749 0.8754 0.3749
Ba2 0.3749 0.3749 0.8754
Ag1 0.0000 0.0000 0.0000
Ba3 0.8754 0.3749 0.3749
Mg1 0.7500 0.7500 0.7500
Ba4 0.3749 0.3749 0.3749

Results
For the total magnetic moment, the calculation gives 0.0226 μB per atom. Its symmetry is No. 216.


*R*
Ba4MgAg after structural relaxation. Source: Alexandria, functional PBE-GGA.

Unit cell a=5.9811 b=5.9834 c=8.4850 alpha=89.91 beta=89.97 gamma=90.01
Sites, in units of the cell vectors:
Ba1 0.0015 0.4980 0.7399
Ba2 0.5014 0.9979 0.7400
Mg1 0.5020 0.4962 0.9976
Ba3 0.5009 0.9968 0.2565
Ba4 0.0010 0.4971 0.2566
Ag1 0.0010 0.9977 0.4982

Results
For the total magnetic moment, the calculation gives 0.0016 μB per atom. Its symmetry is No. 1.


Of them, *Q* has the lowest stability.


*P*
BaMgAg4 after structural relaxation. Source: Alexandria, functional PBE-GGA.

Unit cell a=5.8302 b=5.8302 c=5.8302 alpha=60.00 beta=60.00 gamma=60.00
Sites, in units of the cell vectors:
Ba1 0.7500 0.7500 0.7500
Ag1 0.3735 0.3735 0.3735
Ag2 0.3735 0.3735 0.8794
Mg1 0.0000 0.0000 0.0000
Ag3 0.3735 0.8794 0.3735
Ag4 0.8794 0.3735 0.3735

Results
For the total magnetic moment, the calculation gives 0.0000 μB per atom. Its symmetry is No. 216.


*Q*
BaMgAg4 after structural relaxation. Source: Alexandria, functional PBE-GGA.

Unit cell a=5.0052 b=5.0052 c=7.6390 alpha=90.00 beta=90.00 gamma=90.00
Sites, in units of the cell vectors:
Mg1 0.5000 0.5000 0.5000
Ba1 0.0000 0.0000 0.0000
Ag1 0.5000 0.5000 0.8285
Ag2 0.0000 0.5000 0.5000
Ag3 0.5000 0.5000 0.1715
Ag4 0.5000 0.0000 0.5000

Results
For the total magnetic moment, the calculation gives 0.0000 μB per atom. Its symmetry is No. 123.


Of them, *Q* has the lowest stability.


*P*
Ba3Mg4Ag4 after structural relaxation. Source: Alexandria, functional PBE-GGA.

Unit cell a=4.7468 b=8.4232 c=9.3780 alpha=116.69 beta=104.66 gamma=90.00
Sites, in units of the cell vectors:
Mg1 0.3227 0.5128 0.6454
Ba1 0.1240 0.1240 0.2479
Mg2 0.3227 0.1326 0.6454
Mg3 0.6773 0.8674 0.3546
Ag1 0.5000 0.8070 0.0000
Ba2 0.8760 0.8760 0.7521
Ag2 0.2195 0.7195 0.4390
Mg4 0.6773 0.4872 0.3546
Ag3 0.7805 0.2805 0.5610
Ba3 0.0000 0.5000 0.0000
Ag4 0.5000 0.1930 0.0000

Results
For the total magnetic moment, the calculation gives 0.0000 μB per atom. Its symmetry is No. 71.


*Q*
Ba3Mg4Ag4 after structural relaxation. Source: Alexandria, functional PBE-GGA.

Unit cell a=7.5787 b=7.5787 c=7.5787 alpha=109.47 beta=109.47 gamma=109.47
Sites, in units of the cell vectors:
Ag1 0.0000 0.0000 0.6213
Mg1 0.0000 0.0000 0.2574
Ba1 0.5000 0.0000 0.5000
Ag2 0.3787 0.3787 0.3787
Mg2 0.2574 0.0000 0.0000
Ba2 0.0000 0.5000 0.5000
Ba3 0.5000 0.5000 0.0000
Mg3 0.7426 0.7426 0.7426
Mg4 0.0000 0.2574 0.0000
Ag3 0.0000 0.6213 0.0000
Ag4 0.6213 0.0000 0.0000

Results
For the total magnetic moment, the calculation gives 0.0000 μB per atom. Its symmetry is No. 217.


Of them, *Q* has the lowest stability.


*P*
Ba2Mg2Ag after structural relaxation. Source: Alexandria, functional PBE-GGA.

Unit cell a=10.9082 b=10.9082 c=10.9082 alpha=157.67 beta=157.67 gamma=31.78
Sites, in units of the cell vectors:
Mg1 0.7500 0.2500 0.5000
Mg2 0.2500 0.7500 0.5000
Ag1 0.0000 0.0000 0.0000
Ba1 0.5949 0.5949 0.0000
Ba2 0.4051 0.4051 0.0000

Results
For the total magnetic moment, the calculation gives 0.0000 μB per atom. Its symmetry is No. 139.


*Q*
Ba2Mg2Ag after structural relaxation. Source: Alexandria, functional PBE-GGA.

Unit cell a=7.3774 b=7.2734 c=8.1384 alpha=106.31 beta=90.00 gamma=120.47
Sites, in units of the cell vectors:
Mg1 0.7997 0.8257 0.0445
Ag1 0.2018 0.0000 0.2500
Ba1 0.7456 0.3298 0.1427
Ag2 0.7982 0.0000 0.7500
Ba2 0.2544 0.6702 0.8573
Mg2 0.0260 0.8257 0.5445
Mg3 0.2003 0.1743 0.9555
Ba3 0.4158 0.6702 0.3573
Ba4 0.5842 0.3298 0.6427
Mg4 0.9740 0.1743 0.4555

Results
For the total magnetic moment, the calculation gives 0.0000 μB per atom. Its symmetry is No. 15.


Of them, *P* has the lowest stability.


*P*
Ba2Mg3Ag2 after structural relaxation. Source: Alexandria, functional PBE-GGA.

Unit cell a=4.6576 b=6.5051 c=8.5067 alpha=116.04 beta=90.00 gamma=110.98
Sites, in units of the cell vectors:
Ba1 0.1369 0.2738 0.7690
Mg1 0.6454 0.2908 0.4295
Ag1 0.1359 0.2718 0.2112
Ag2 0.8641 0.7282 0.7888
Ba2 0.8631 0.7262 0.2310
Mg2 0.3546 0.7092 0.5705
Mg3 0.5000 0.0000 0.0000

Results
For the total magnetic moment, the calculation gives 0.0000 μB per atom. Its symmetry is No. 12.


*Q*
Ba2Mg3Ag2 after structural relaxation. Source: Alexandria, functional PBE-GGA.

Unit cell a=4.6519 b=6.3429 c=7.9635 alpha=96.12 beta=90.00 gamma=111.51
Sites, in units of the cell vectors:
Mg1 0.0000 0.0000 0.0000
Mg2 0.3271 0.6541 0.1257
Mg3 0.6729 0.3459 0.8743
Ba1 0.6292 0.2584 0.3429
Ag1 0.9173 0.8346 0.3262
Ba2 0.3708 0.7416 0.6571
Ag2 0.0827 0.1654 0.6738

Results
For the total magnetic moment, the calculation gives 0.0000 μB per atom. Its symmetry is No. 12.


Of them, *Q* has the lowest stability.


*P*
Ba3MgAg3 after structural relaxation. Source: Alexandria, functional PBE-GGA.

Unit cell a=6.7512 b=9.9807 c=9.9807 alpha=120.00 beta=90.00 gamma=90.00
Sites, in units of the cell vectors:
Ag1 0.7500 0.3145 0.3798
Ag2 0.7500 0.0653 0.6855
Ag3 0.2500 0.9347 0.3145
Ba1 0.2500 0.6366 0.9364
Ag4 0.2500 0.3798 0.0653
Ag5 0.7500 0.6202 0.9347
Mg1 0.7500 0.3333 0.6667
Ba2 0.2500 0.2997 0.3634
Ag6 0.2500 0.6855 0.6202
Ba3 0.7500 0.9364 0.2997
Ba4 0.7500 0.3634 0.0636
Ba5 0.7500 0.7003 0.6366
Ba6 0.2500 0.0636 0.7003
Mg2 0.2500 0.6667 0.3333

Results
For the total magnetic moment, the calculation gives 0.0000 μB per atom. Its symmetry is No. 176.


*Q*
Ba3MgAg3 after structural relaxation. Source: Alexandria, functional PBE-GGA.

Unit cell a=4.8296 b=6.8911 c=15.8561 alpha=85.02 beta=81.24 gamma=69.49
Sites, in units of the cell vectors:
Ag1 0.0513 0.1358 0.7616
Ba1 0.3989 0.2805 0.9217
Ag2 0.8727 0.7140 0.5406
Ag3 0.1025 0.8732 0.9217
Ba2 0.2559 0.2545 0.2337
Ba3 0.5237 0.3352 0.6174
Ag4 0.1273 0.2860 0.4594
Mg1 0.2447 0.9265 0.5841
Ag5 0.8975 0.1268 0.0783
Ba4 0.7441 0.7455 0.7663
Ag6 0.9487 0.8642 0.2384
Mg2 0.7553 0.0735 0.4159
Ba5 0.6011 0.7195 0.0783
Ba6 0.4763 0.6648 0.3826

Results
For the total magnetic moment, the calculation gives 0.0000 μB per atom. Its symmetry is No. 12.


Of them, *P* has the lowest stability.


*P*
BaMg3Ag2 after structural relaxation. Source: Alexandria, functional PBE-GGA.

Unit cell a=4.6030 b=9.1517 c=8.8307 alpha=115.37 beta=90.00 gamma=104.57
Sites, in units of the cell vectors:
Ag1 0.8112 0.6224 0.3350
Ba1 0.8506 0.7012 0.9314
Ag2 0.5182 0.0363 0.1738
Mg1 0.5930 0.1860 0.6722
Mg2 0.9618 0.9236 0.6290
Mg3 0.3167 0.6334 0.5516
Ag3 0.4818 0.9637 0.8262
Mg4 0.4070 0.8140 0.3278
Mg5 0.6833 0.3666 0.4484
Ag4 0.1888 0.3776 0.6650
Mg6 0.0382 0.0764 0.3710
Ba2 0.1494 0.2988 0.0686

Results
For the total magnetic moment, the calculation gives 0.0000 μB per atom. Its symmetry is No. 12.


*Q*
BaMg3Ag2 after structural relaxation. Source: Alexandria, functional PBE-GGA.

Unit cell a=4.6473 b=10.7776 c=10.7776 alpha=120.00 beta=90.00 gamma=90.00
Sites, in units of the cell vectors:
Ag1 0.5000 0.1867 0.3734
Mg1 0.0000 0.6991 0.0000
Ag2 0.5000 0.6266 0.8133
Mg2 0.0000 0.6991 0.6991
Mg3 0.0000 0.0000 0.3009
Mg4 0.5000 0.5000 0.5000
Ba1 0.0000 0.3333 0.6667
Ag3 0.5000 0.8133 0.6266
Ag4 0.5000 0.8133 0.1867
Ag5 0.5000 0.3734 0.1867
Ba2 0.5000 0.0000 0.0000
Mg5 0.5000 0.5000 0.0000
Mg6 0.0000 0.3009 0.3009
Ba3 0.0000 0.6667 0.3333
Mg7 0.0000 0.0000 0.6991
Mg8 0.0000 0.3009 0.0000
Mg9 0.5000 0.0000 0.5000
Ag6 0.5000 0.1867 0.8133

Results
For the total magnetic moment, the calculation gives 0.0000 μB per atom. Its symmetry is No. 191.


Of them, *P* has the lowest stability.


*P*
BaMg4Ag after structural relaxation. Source: Alexandria, functional PBE-GGA.

Unit cell a=6.1515 b=6.1515 c=6.1515 alpha=60.00 beta=60.00 gamma=60.00
Sites, in units of the cell vectors:
Mg1 0.8710 0.3763 0.3763
Mg2 0.3763 0.8710 0.3763
Ba1 0.0000 0.0000 0.0000
Ag1 0.7500 0.7500 0.7500
Mg3 0.3763 0.3763 0.8710
Mg4 0.3763 0.3763 0.3763

Results
For the total magnetic moment, the calculation gives 0.0001 μB per atom. Its symmetry is No. 216.


*Q*
BaMg4Ag after structural relaxation. Source: Alexandria, functional PBE-GGA.

Unit cell a=4.5872 b=8.0990 c=9.0444 alpha=90.00 beta=90.00 gamma=90.00
Sites, in units of the cell vectors:
Mg1 0.5000 0.7238 0.0623
Mg2 0.5000 0.2762 0.5623
Ag1 0.0000 0.8144 0.2500
Mg3 0.5000 0.7238 0.4377
Mg4 0.0000 0.0000 0.0000
Mg5 0.0000 0.0000 0.5000
Mg6 0.5000 0.2762 0.9377
Ba1 0.0000 0.5984 0.7500
Ag2 0.0000 0.1856 0.7500
Mg7 0.5000 0.9515 0.7500
Mg8 0.5000 0.0485 0.2500
Ba2 0.0000 0.4016 0.2500

Results
For the total magnetic moment, the calculation gives 0.0000 μB per atom. Its symmetry is No. 51.


Of them, *P* has the lowest stability.


*P*
BaNaMg2Ag after structural relaxation. Source: Alexandria, functional PBE-GGA.

Unit cell a=5.4263 b=5.4263 c=6.1579 alpha=90.00 beta=90.00 gamma=90.00
Sites, in units of the cell vectors:
Ba1 0.0000 0.0000 0.5000
Mg1 0.0000 0.5000 0.0000
Na1 0.5000 0.5000 0.5000
Ag1 0.0000 0.0000 0.0000
Mg2 0.5000 0.0000 0.0000

Results
For the total magnetic moment, the calculation gives 0.0000 μB per atom. Its symmetry is No. 123.


*Q*
BaNaMg2Ag after structural relaxation. Source: Alexandria, functional PBE-GGA.

Unit cell a=5.3374 b=5.3374 c=5.6909 alpha=90.00 beta=90.00 gamma=90.00
Sites, in units of the cell vectors:
Mg1 0.0000 0.5000 0.0000
Ba1 0.5000 0.5000 0.5000
Mg2 0.5000 0.0000 0.0000
Ag1 0.0000 0.0000 0.0000
Na1 0.0000 0.0000 0.5000

Results
For the total magnetic moment, the calculation gives 0.0009 μB per atom. Its symmetry is No. 123.


Of them, *P* has the lowest stability.